! NpNi4P2 (PBE, relaxed); values from VASP
&SYSTEM
  ibrav = 0, nat = 7, ntyp = 3
/
ATOMIC_SPECIES
Np 237.00 Np.upf
Ni 58.69 Ni.upf
P 30.97 P.upf
ATOMIC_POSITIONS crystal
Np 0.000 0.000 0.000
Ni 0.143 0.143 0.143
Ni 0.431 0.431 0.431
Ni 0.569 0.569 0.569
Ni 0.857 0.857 0.857
P 0.248 0.248 0.248
P 0.752 0.752 0.752
CELL_PARAMETERS angstrom
1.938 1.119 7.219
-1.938 1.119 7.219
0.000 -2.238 7.219
! **Energy of formation from the pure elements**: -0.54 eV/atom
! **Volume**: 93.9 Å³ per cell
! **Excess energy over the best structure of this formula in the dataset**: 84 meV per atom